No. 1
A plane-wave DFT calculation with GGA-PBE was carried out for a relaxed structure of AcNd2Au2.

a b c (Å): 5.107 5.107 7.157
angles (deg): 69.09 69.09 59.99
Sites, in units of the cell vectors:
1 Ac 0.000 0.500 0.000
2 Nd 0.212 0.712 0.363
3 Nd 0.788 0.288 0.637
4 Au 0.581 0.081 0.258
5 Au 0.419 0.919 0.742

Calculated values
Calculated volume ... 147.27 Å³/cell
Symmetry ... R-3m (166)
Energy above the lowest structure with this stoichiometry ... 34 kJ/mol of formula units
Total DFT energy (no corrections) ... -22.89 eV/f.u.
Size of the total moment ... 0.00 Bohr magnetons per cell
ΔE_f ... -2.7 eV per formula unit

---

No. 2
A plane-wave DFT calculation with GGA-PBE was carried out for a relaxed structure of Co4NiIr.

a b c (Å): 4.336 6.445 6.292
angles (deg): 120.81 101.44 90.00
Last column: magnetic moment on the atom in μB.
Sites, in units of the cell vectors:
1 Co 0.310 0.674 0.348  1.71
2 Co 0.439 0.068 0.755  1.82
3 Co 0.000 0.185 0.000  1.75
4 Co 0.561 0.312 0.245  1.82
5 Co 0.690 0.326 0.652  1.71
6 Co 0.561 0.932 0.245  1.82
7 Co 0.000 0.815 0.000  1.75
8 Co 0.439 0.688 0.755  1.82
9 Ni 0.225 0.448 0.897  0.68
10 Ni 0.775 0.552 0.103  0.68
11 Ir 0.884 0.792 0.584  0.70
12 Ir 0.116 0.208 0.416  0.70

Calculated values
Calculated volume ... 146.92 Å³/cell
Symmetry ... C2/m (12)
Energy above the lowest structure with this stoichiometry ... 61 kJ/mol of formula units
Total DFT energy (no corrections) ... -41.60 eV/f.u.
Size of the total moment ... 16.81 Bohr magnetons per cell
ΔE_f ... 1.5 eV per formula unit

---

No. 3
A plane-wave DFT calculation with GGA-PBE was carried out for a relaxed structure of FeAgIr.

a b c (Å): 6.104 6.104 6.104
angles (deg): 153.70 153.70 37.54
Last column: magnetic moment on the atom in μB.
Sites, in units of the cell vectors:
1 Ag 0.995 0.995 0.000  0.03
2 Fe 0.322 0.322 0.000  2.60
3 Ir 0.683 0.683 0.000  0.17

Calculated values
Calculated volume ... 44.59 Å³/cell
Symmetry ... I4mm (107)
Energy above the lowest structure with this stoichiometry ... 16 kJ/mol of formula units
Total DFT energy (no corrections) ... -19.41 eV/f.u.
Size of the total moment ... 2.85 Bohr magnetons per cell
ΔE_f ... 0.8 eV per formula unit

---

No. 4
A plane-wave DFT calculation with GGA-PBE was carried out for a relaxed structure of Tb4CeY5.

a b c (Å): 5.929 8.020 8.020
angles (deg): 82.15 68.30 68.30
Last column: magnetic moment on the atom in μB.
Sites, in units of the cell vectors:
1 Tb 0.452 0.326 0.674  0.00
2 Tb 0.778 0.674 0.674  0.00
3 Tb 0.126 0.326 0.326  0.00
4 Tb 0.452 0.674 0.326  0.00
5 Ce 0.206 0.000 0.000  0.32
6 Y 0.770 0.374 0.000  0.01
7 Y 0.144 0.000 0.626  0.01
8 Y 0.770 0.000 0.374  0.01
9 Y 0.144 0.626 0.000  0.01
10 Y 0.669 0.000 0.000  0.04

Calculated values
Calculated volume ... 329.27 Å³/cell
Symmetry ... I4mm (107)
Energy above the lowest structure with this stoichiometry ... 162 kJ/mol of formula units
Total DFT energy (no corrections) ... -54.02 eV/f.u.
Size of the total moment ... 0.48 Bohr magnetons per cell
ΔE_f ... 2.8 eV per formula unit

---

No. 5
A plane-wave DFT calculation with GGA-PBE was carried out for a relaxed structure of AcZn2Pd2Au.

a b c (Å): 4.796 4.796 5.853
angles (deg): 90.00 90.00 90.00
Sites, in units of the cell vectors:
1 Ac 0.000 0.000 0.500
2 Zn 0.500 0.000 0.000
3 Zn 0.000 0.500 0.000
4 Pd 0.500 0.500 0.747
5 Pd 0.500 0.500 0.253
6 Au 0.000 0.000 0.000

Calculated values
Calculated volume ... 134.63 Å³/cell
Symmetry ... P4/mmm (123)
Total DFT energy (no corrections) ... -22.16 eV/f.u.
Size of the total moment ... 0.00 Bohr magnetons per cell
ΔE_f ... -1.8 eV per formula unit

---

No. 6
A plane-wave DFT calculation with GGA-PBE was carried out for a relaxed structure of In2WSe.

a b c (Å): 4.906 4.906 4.906
angles (deg): 60.00 60.00 60.00
Last column: magnetic moment on the atom in μB.
Sites, in units of the cell vectors:
1 In 0.000 0.000 0.000  0.06
2 In 0.250 0.250 0.250  -0.01
3 Se 0.500 0.500 0.500  -0.02
4 W 0.750 0.750 0.750  1.64

Calculated values
Calculated volume ... 83.49 Å³/cell
Symmetry ... F-43m (216)
Total DFT energy (no corrections) ... -18.60 eV/f.u.
Size of the total moment ... 2.23 Bohr magnetons per cell

---

What did the fourth record say?
A plane-wave DFT calculation with GGA-PBE was carried out for a relaxed structure of Tb4CeY5.

a b c (Å): 5.929 8.020 8.020
angles (deg): 82.15 68.30 68.30
Last column: magnetic moment on the atom in μB.
Sites, in units of the cell vectors:
1 Tb 0.452 0.326 0.674  0.00
2 Tb 0.778 0.674 0.674  0.00
3 Tb 0.126 0.326 0.326  0.00
4 Tb 0.452 0.674 0.326  0.00
5 Ce 0.206 0.000 0.000  0.32
6 Y 0.770 0.374 0.000  0.01
7 Y 0.144 0.000 0.626  0.01
8 Y 0.770 0.000 0.374  0.01
9 Y 0.144 0.626 0.000  0.01
10 Y 0.669 0.000 0.000  0.04

Calculated values
Calculated volume ... 329.27 Å³/cell
Symmetry ... I4mm (107)
Energy above the lowest structure with this stoichiometry ... 162 kJ/mol of formula units
Total DFT energy (no corrections) ... -54.02 eV/f.u.
Size of the total moment ... 0.48 Bohr magnetons per cell
ΔE_f ... 2.8 eV per formula unit

---

Which value of size of the total moment does entry 5 give?
0.00 Bohr magnetons per cell